Material: MnGaNiMo
Method: DFT, PBE-GGA
State: relaxed

Output
- ΔE_f: -8.2 kJ per mole of atoms
- Total magnetic moment: 0.52 μB/atom
- DFT total energy: -7.287 eV/atom

Geometry as extended XYZ:
```
4
Lattice="0.000 2.991 2.991 2.991 0.000 2.991 2.991 2.991 0.000" Properties=species:S:1:pos:R:3 pbc="T T T"
Mn 0.000 0.000 0.000
Ga 2.991 2.991 2.991
Ni 1.495 1.495 1.495
Mo 4.486 4.486 4.486
```